# 1
Ac2Tb5Nd2 | the Alexandria database | PBE | optimized geometry; total DFT energy (no corrections) = -0.159 Ha/atom; total magnetization = 0.0 μB per cell; symmetry = C2/m, No. 12
1.0
11.128 -1.819 0.000
11.128 1.819 0.000
-1.232 0.000 8.283
Ac Tb Nd
2 5 2
Cartesian
3.896 0.000 1.120
17.129 0.000 7.163
0.000 0.000 0.000
1.188 0.000 5.995
6.316 0.000 3.895
14.709 0.000 4.388
19.837 0.000 2.288
9.259 0.000 5.376
11.766 0.000 2.907

---

# 2
Ac3Tb8Nd | the Alexandria database | PBE | optimized geometry; total DFT energy (no corrections) = -0.157 Ha/atom; total magnetization = 0.0 μB per cell; symmetry = Immm, No. 71
1.0
-3.269 5.792 5.994
3.269 -5.792 5.994
3.269 5.792 -5.994
Ac Tb Nd
3 8 1
Cartesian
0.000 0.000 0.000
3.269 2.943 0.000
0.000 2.848 5.994
3.269 -2.881 3.868
1.650 5.792 -2.906
1.619 0.000 3.088
0.000 2.910 2.126
3.269 2.881 3.868
1.650 5.792 2.906
1.619 0.000 8.899
0.000 8.673 2.126
0.000 5.792 0.000

---

# 3
Ac4TbNd | the Alexandria database | PBE | optimized geometry; total DFT energy (no corrections) = -0.137 Ha/atom; total magnetization = 0.0 μB per cell; distance to the lowest polymorph of the same formula = 3.25 eV per formula unit; symmetry = C2/m, No. 12
1.0
10.191 0.000 0.000
0.000 5.871 0.000
-3.391 0.000 9.618
Ac Tb Nd
8 2 2
Cartesian
0.006 0.000 3.560
-1.692 2.935 8.449
3.397 0.000 1.168
1.699 2.935 6.058
5.101 2.935 3.560
3.403 0.000 8.449
8.492 2.935 1.168
6.794 0.000 6.058
0.000 0.000 0.000
5.095 2.935 0.000
-1.695 2.935 4.809
3.400 0.000 4.809

---

# 4
Ac6Tb4Nd | the Alexandria database | PBE | optimized geometry; total DFT energy (no corrections) = -0.149 Ha/atom; total magnetization = 0.0 μB per cell; symmetry = I-42m, No. 121
1.0
-3.710 3.710 8.166
3.710 -3.710 8.166
3.710 3.710 -8.166
Ac Tb Nd
6 4 1
Cartesian
3.710 0.000 0.000
2.248 -2.248 5.176
1.462 1.462 2.990
0.000 3.710 0.000
-2.248 2.248 5.176
2.248 2.248 11.156
2.549 2.549 -1.602
1.161 -1.161 9.768
1.161 1.161 6.564
-1.161 1.161 9.768
0.000 0.000 0.000

---

# 5
AcTb2Nd6 | the Alexandria database | PBE | optimized geometry; total DFT energy (no corrections) = -0.169 Ha/atom; total magnetization = 0.0 μB per cell; distance to the lowest polymorph of the same formula = 0.36 eV per formula unit; symmetry = P-6m2, No. 187
1.0
3.695 0.000 0.000
-1.847 3.200 0.000
0.000 0.000 27.450
Ac Tb Nd
1 2 6
Cartesian
0.000 0.000 0.000
0.000 2.133 9.120
0.000 2.133 18.330
0.000 0.000 6.164
0.000 0.000 11.935
0.000 0.000 15.515
0.000 0.000 21.287
0.000 2.133 3.199
0.000 2.133 24.251

---

# 6
Ac6Tb2Nd5 | the Alexandria database | PBE | optimized geometry; total DFT energy (no corrections) = -0.158 Ha/atom; total magnetization = 0.0 μB per cell; symmetry = Pbam, No. 55
1.0
11.421 0.000 0.000
0.000 24.071 0.000
0.000 0.000 3.770
Ac Tb Nd
12 4 10
Cartesian
0.220 2.713 0.000
1.673 9.266 0.000
1.894 15.264 1.885
3.817 3.229 1.885
4.038 21.301 0.000
5.491 14.748 0.000
5.930 9.322 0.000
7.383 2.770 0.000
7.604 20.842 1.885
9.527 8.807 1.885
9.748 14.805 0.000
11.201 21.358 0.000
1.881 18.462 0.000
3.829 6.426 0.000
7.591 17.644 0.000
9.540 5.609 0.000
0.000 12.035 1.885
0.975 6.002 1.885
1.886 23.990 1.885
3.824 11.954 1.885
4.735 18.037 1.885
5.710 0.000 1.885
6.686 6.034 1.885
7.597 12.117 1.885
9.534 0.081 1.885
10.445 18.069 1.885

---

# 7
AcTb6Nd2 | the Alexandria database | PBE | optimized geometry; total DFT energy (no corrections) = -0.160 Ha/atom; total magnetization = 0.0 μB per cell; distance to the lowest polymorph of the same formula = 1.21 eV per formula unit; symmetry = P2_1/c, No. 14
1.0
8.749 0.000 0.000
0.000 5.993 0.000
-2.905 0.000 12.435
Ac Tb Nd
2 12 4
Cartesian
0.000 0.000 0.000
-1.452 2.996 6.218
0.406 1.408 3.248
-1.047 1.588 9.466
1.363 4.221 4.650
-0.089 4.768 10.868
1.427 0.927 6.676
2.879 2.070 0.459
2.966 3.923 11.977
4.418 5.066 5.759
5.934 1.225 1.568
4.482 1.772 7.785
6.891 4.405 2.970
5.439 4.585 9.187
1.927 3.973 8.245
3.379 5.016 2.027
2.465 0.977 10.408
3.918 2.020 4.190

---

# 8
Ac3Tb4Nd2 | the Alexandria database | PBE | optimized geometry; total DFT energy (no corrections) = -0.164 Ha/atom; total magnetization = 0.0 μB per cell; symmetry = C2/m, No. 12
1.0
9.700 -1.895 0.000
9.700 1.895 0.000
-4.304 0.000 9.011
Ac Tb Nd
3 4 2
Cartesian
0.000 0.000 0.000
-0.017 0.000 5.974
15.113 0.000 3.037
2.121 0.000 3.031
6.426 0.000 6.037
8.670 0.000 2.974
12.974 0.000 5.980
2.171 0.000 8.929
12.925 0.000 0.081

---

# 9
AcTb12Nd3 | the Alexandria database | PBE | optimized geometry; total DFT energy (no corrections) = -0.169 Ha/atom; total magnetization = 0.0 μB per cell; symmetry = P4/mmm, No. 123
1.0
5.103 0.000 0.000
0.000 5.103 0.000
0.000 0.000 20.412
Ac Tb Nd
1 12 3
Cartesian
0.000 0.000 0.000
0.000 2.551 2.636
0.000 2.551 7.680
0.000 2.551 12.733
0.000 2.551 17.776
2.551 0.000 2.636
2.551 0.000 7.680
2.551 0.000 12.733
2.551 0.000 17.776
2.551 2.551 0.000
2.551 2.551 5.159
2.551 2.551 10.206
2.551 2.551 15.253
0.000 0.000 5.137
0.000 0.000 10.206
0.000 0.000 15.275

---

# 10
Ac5TbNd | the Alexandria database | PBE | optimized geometry; total DFT energy (no corrections) = -0.149 Ha/atom; total magnetization = 0.0 μB per cell; symmetry = C2/c, No. 15
1.0
3.509 -12.294 0.000
3.509 12.294 0.000
-1.910 0.000 6.927
Ac Tb Nd
10 2 2
Cartesian
2.077 8.929 5.195
0.379 1.125 4.575
2.361 5.041 3.441
1.334 -1.125 1.111
3.702 5.041 0.022
1.406 -5.041 6.905
3.775 1.125 5.816
2.747 -5.041 3.486
4.730 -1.125 2.352
3.032 -8.929 1.732
3.032 1.991 1.732
2.077 -1.991 5.195
3.032 8.165 1.732
2.077 -8.165 5.195

---

# 11
AcTb4Nd6 | the Alexandria database | PBE | optimized geometry; total DFT energy (no corrections) = -0.159 Ha/atom; total magnetization = 0.0 μB per cell; symmetry = I-42m, No. 121
1.0
-3.329 3.329 8.902
3.329 -3.329 8.902
3.329 3.329 -8.902
Ac Tb Nd
1 4 6
Cartesian
0.000 0.000 0.000
2.077 -2.077 5.690
1.252 1.252 3.212
-2.077 2.077 5.690
2.077 2.077 12.114
3.329 0.000 0.000
2.128 2.128 -2.363
1.200 -1.200 11.265
0.000 3.329 0.000
1.200 1.200 6.539
-1.200 1.200 11.265

---

# 12
AcTb4Nd2 | the Alexandria database | PBE | optimized geometry; total DFT energy (no corrections) = -0.168 Ha/atom; total magnetization = 0.0 μB per cell; distance to the lowest polymorph of the same formula = 0.00 eV per formula unit; symmetry = R-3m, No. 166
1.0
1.837 1.060 20.654
-1.837 1.060 20.654
0.000 -2.121 20.654
Ac Tb Nd
1 4 2
Cartesian
0.000 0.000 0.000
0.000 0.000 8.897
0.000 0.000 17.604
0.000 0.000 44.357
0.000 0.000 53.064
0.000 0.000 26.618
0.000 0.000 35.343

---

# 13
AcTb8Nd2 | the Alexandria database | PBE | optimized geometry; total DFT energy (no corrections) = -0.164 Ha/atom; total magnetization = 0.0 μB per cell; distance to the lowest polymorph of the same formula = 0.08 eV per formula unit; symmetry = C2/m, No. 12
1.0
9.696 -3.582 0.000
9.696 3.582 0.000
-0.305 0.000 5.564
Ac Tb Nd
1 8 2
Cartesian
0.000 0.000 0.000
7.018 1.647 1.498
3.595 0.000 1.305
12.069 1.647 4.066
8.584 0.000 4.224
10.503 0.000 1.340
7.018 -1.647 1.498
15.492 0.000 4.259
12.069 -1.647 4.066
5.306 0.000 4.179
13.780 0.000 1.385

---

# 14
Ac2TbNd7 | the Alexandria database | PBE | optimized geometry; total DFT energy (no corrections) = -0.154 Ha/atom; total magnetization = 0.0 μB per cell; distance to the lowest polymorph of the same formula = 2.77 eV per formula unit; symmetry = Cmmm, No. 65
1.0
6.196 -8.767 0.000
6.196 8.767 0.000
0.000 0.000 3.634
Ac Tb Nd
2 1 7
Cartesian
6.196 5.706 0.000
6.196 -5.706 0.000
0.000 0.000 1.817
3.212 2.059 0.000
6.196 2.861 1.817
3.212 -2.059 0.000
6.196 0.000 0.000
9.180 2.059 0.000
6.196 -2.861 1.817
9.180 -2.059 0.000

---

# 15
Ac2Tb15Nd2 | the Alexandria database | PBE | optimized geometry; total DFT energy (no corrections) = -0.159 Ha/atom; total magnetization = 0.0 μB per cell; symmetry = R-3m, No. 166
1.0
5.837 3.370 5.676
-5.837 3.370 5.676
0.000 -6.740 5.676
Ac Tb Nd
2 15 2
Cartesian
0.000 0.000 1.883
0.000 0.000 15.145
-5.837 0.000 8.514
-2.008 -3.263 5.676
-2.919 1.685 2.838
-3.830 -0.107 5.676
-2.712 -1.566 8.670
0.000 -3.132 8.358
-2.712 1.566 8.358
2.008 -3.263 5.676
-1.822 3.370 5.676
2.919 1.685 2.838
3.830 -0.107 5.676
1.822 3.370 5.676
2.712 -1.566 8.670
0.000 3.132 8.670
2.712 1.566 8.358
0.000 0.000 6.004
0.000 0.000 11.024

---

# 16
AcTb4Nd2 | the Alexandria database | PBE | optimized geometry; total DFT energy (no corrections) = -0.162 Ha/atom; total magnetization = 0.0 μB per cell; distance to the lowest polymorph of the same formula = 1.15 eV per formula unit; symmetry = I4/mmm, No. 139
1.0
8.681 0.000 0.000
0.000 8.681 0.000
0.000 0.000 6.634
Ac Tb Nd
2 8 4
Cartesian
0.000 0.000 0.000
4.340 4.340 3.317
1.706 1.706 3.317
1.706 6.974 3.317
2.634 2.634 0.000
2.634 6.047 0.000
6.047 2.634 0.000
6.047 6.047 0.000
6.974 1.706 3.317
6.974 6.974 3.317
0.000 4.340 1.659
0.000 4.340 4.976
4.340 0.000 1.659
4.340 0.000 4.976

---

# 17
Ac8Tb5Nd | the Alexandria database | PBE | optimized geometry; total DFT energy (no corrections) = -0.150 Ha/atom; total magnetization = 0.0 μB per cell; symmetry = I-4, No. 82
1.0
-5.112 5.112 5.458
5.112 -5.112 5.458
5.112 5.112 -5.458
Ac Tb Nd
8 5 1
Cartesian
4.200 1.863 -0.024
0.697 1.770 1.709
3.248 -0.911 5.481
1.863 6.023 0.024
-3.342 4.414 3.749
0.911 3.248 5.434
3.342 5.809 3.749
-0.697 8.453 1.709
3.095 -1.044 1.937
6.156 -2.016 3.520
7.128 1.044 1.937
4.067 2.016 3.520
0.000 5.112 2.729
0.000 0.000 5.458

---

# 18
AcTb2Nd | the Alexandria database | PBE | optimized geometry; total DFT energy (no corrections) = -0.165 Ha/atom; total magnetization = 0.0 μB per cell; distance to the lowest polymorph of the same formula = 0.06 eV per formula unit; symmetry = R3m, No. 160
1.0
3.720 0.000 0.000
-1.860 3.222 0.000
0.000 0.000 35.891
Ac Tb Nd
3 6 3
Cartesian
0.000 0.000 0.000
0.000 2.148 23.927
1.860 1.074 11.964
0.000 0.000 20.820
0.000 0.000 27.008
0.000 2.148 8.857
0.000 2.148 15.044
1.860 1.074 3.080
1.860 1.074 32.784
0.000 0.000 5.965
0.000 2.148 29.892
1.860 1.074 17.928

---

# 19
AcTb5Nd3 | the Alexandria database | PBE | optimized geometry; total DFT energy (no corrections) = -0.149 Ha/atom; total magnetization = 0.0 μB per cell; symmetry = C2/m, No. 12
1.0
6.163 -5.817 0.000
6.163 5.817 0.000
-2.571 0.000 9.833
Ac Tb Nd
2 10 6
Cartesian
2.401 0.000 2.156
7.354 0.000 7.677
3.385 2.953 3.777
0.721 0.000 8.786
6.163 2.866 0.000
1.725 0.000 5.643
6.370 2.953 6.056
3.385 -2.953 3.777
8.030 0.000 4.190
6.163 -2.866 0.000
9.034 0.000 1.047
6.370 -2.953 6.056
0.000 0.000 0.000
-0.743 0.000 3.371
3.940 0.000 8.094
4.878 0.000 4.916
5.815 0.000 1.739
10.498 0.000 6.462

---

# 20
AcTb4Nd | the Alexandria database | PBE | optimized geometry; total DFT energy (no corrections) = -0.166 Ha/atom; total magnetization = 0.0 μB per cell; distance to the lowest polymorph of the same formula = 0.00 eV per formula unit; symmetry = P-1, No. 2
1.0
6.321 0.000 0.000
-2.107 7.909 0.000
-0.032 -3.440 8.275
Ac Tb Nd
2 8 2
Cartesian
0.525 -0.275 3.080
3.657 4.744 5.195
-0.574 0.282 6.584
-0.511 3.598 7.925
0.495 3.085 4.486
2.634 -1.435 5.891
1.548 5.904 2.384
3.687 1.384 3.789
4.693 0.871 0.351
4.756 4.187 1.691
1.581 2.565 1.013
2.601 1.904 7.262

---

Values for ΔH_f (0 K), kJ per mole of atoms, ordered as above
20; 24; 56; 30; 6; 14; 24; 3; 3; 21; 31; 3; 13; 41; 25; 19; 25; 5; 56; 4